## one
# Mn2SbPd8

An optimized crystal structure of Mn2SbPd8 (PBE-GGA, the Alexandria database).

a b c (Å): 7.759 7.759 7.759
angles (deg): 146.34 135.45 56.98
Fractional positions:
Mn1 0.187 0.187 0.000
Mn2 0.813 0.813 0.000
Sb1 0.500 0.500 0.000
Pd1 0.085 0.352 0.733
Pd2 0.234 0.000 0.234
Pd3 0.322 0.822 0.500
Pd4 0.382 0.648 0.733
Pd5 0.618 0.352 0.267
Pd6 0.678 0.178 0.500
Pd7 0.766 0.000 0.766
Pd8 0.915 0.648 0.267

Properties
Crystal system ... orthorhombic
Space-group type ... Immm

---

## two
# Mn2SbPd8

An optimized crystal structure of Mn2SbPd8 (PBE-GGA, the Alexandria database).

a b c (Å): 7.379 7.379 6.173
angles (deg): 103.96 103.96 32.13
Fractional positions:
Mn1 0.222 0.222 0.151
Mn2 0.778 0.778 0.849
Sb1 0.500 0.500 0.500
Pd1 0.043 0.043 0.233
Pd2 0.151 0.151 0.708
Pd3 0.321 0.321 0.582
Pd4 0.403 0.403 0.039
Pd5 0.597 0.597 0.961
Pd6 0.679 0.679 0.418
Pd7 0.849 0.849 0.292
Pd8 0.957 0.957 0.767

Properties
Crystal system ... monoclinic
Space-group type ... C2/m

---

Which one is the least stable? From the structures above, one.